The following is a PBE calculation of an optimized crystal structure of B3AsP, from Alexandria via LeMat-Bulk.

Structure (extended XYZ):
```
5
Lattice="3.922 0.000 0.000 0.000 3.922 0.000 0.000 0.000 3.922" Properties=species:S:1:pos:R:3 pbc="T T T"
B 0.000 0.000 1.961
B 0.000 1.961 0.000
B 1.961 0.000 0.000
As 1.961 1.961 1.961
P 0.000 0.000 0.000
```

## Properties
Calculated formation energy in kJ per mole of atoms: 134.3
Relative energy among the computed polymorphs in meV per atom: 0
Total magnetization in μB/atom: 0.000
Crystal system: cubic
VASP energy in eV per cell: -23.13
Calculated density in g cm⁻³: 3.807

The following is a PBE calculation of an optimized crystal structure of BAsP2, from Alexandria via LeMat-Bulk.

Structure (extended XYZ):
```
4
Lattice="2.994 0.000 0.000 1.445 4.850 0.000 1.046 0.348 5.074" Properties=species:S:1:pos:R:3 pbc="T T T"
B 0.000 0.000 0.000
As 2.471 3.603 3.770
P 1.485 1.241 0.139
P 3.129 0.431 1.874
```

## Properties
Calculated formation energy in kJ per mole of atoms: 33.0
Relative energy among the computed polymorphs in meV per atom: 273
Total magnetization in μB/atom: 0.000
Crystal system: triclinic
VASP energy in eV per cell: -20.78
Calculated density in g cm⁻³: 3.328